1.
4
Lattice="-0.0990 -2.6760 1.5334 2.8878 -0.6192 -0.8941 2.3402 3.0388 5.4541" Properties=species:S:1:pos:R:3 comment="Ta2TiFe PBE optimized geometry" m_tot_mub_per_cell=0.37 rho_g_cm3=12.18 spacegroup="P4/mmm, No. 123" total_energy_ha_per_atom=-0.371 delta_e_f_mev_per_atom=-79 pbc="T T T"
Ta 1.8055 2.3445 4.2080
Ta 0.5347 0.6943 1.2461
Ti 2.5645 -0.1282 3.0467
Fe 1.3944 -1.6476 0.3197

2.
9
Lattice="-3.4933 -1.8500 0.3966 2.5172 0.1855 3.0680 -6.0455 11.8998 4.0138" Properties=species:S:1:pos:R:3 comment="Li3Pm2S4 PBE optimized geometry" m_tot_mub_per_cell=0.00 rho_g_cm3=3.83 formation_energy_uncorrected_mev_per_atom=-1598.5 spacegroup="C2/m, No. 12" total_energy_ha_per_atom=-0.188 pbc="T T T"
S -5.5487 2.3460 1.8335
Li 0.0000 0.0000 0.0000
Li -3.8546 3.6390 2.9319
Pm -6.2493 8.0939 4.3976
S -2.1093 0.1065 1.7265
S -1.4730 7.8892 5.6450
S -4.9123 10.1288 5.7519
Pm -0.7724 2.1413 3.0808
Li -3.1671 6.5963 4.5465

3.
16
Lattice="-1.3071 -0.7918 -3.1135 5.6833 -2.4476 0.1682 -4.5019 -10.1461 4.4702" Properties=species:S:1:pos:R:3 comment="Pm2YTcN4 PBE optimized geometry" m_tot_mub_per_cell=0.00 rho_g_cm3=7.18 formation_energy_uncorrected_mev_per_atom=-934.5 spacegroup="Cmcm, No. 63" total_energy_ha_per_atom=-0.308 pbc="T T T"
Tc 0.2662 -3.3233 0.7334
N 2.0772 -2.9091 -0.1322
N -2.2028 -10.4763 1.6572
Pm -1.3958 -5.8179 0.1337
N -1.1800 -3.2710 -0.6046
N -1.1827 -8.1771 0.6442
N -2.2509 -5.0730 2.2351
N 1.0544 -10.1144 2.1295
Pm -0.6232 -11.8348 3.2713
Pm 1.2702 -7.5676 1.3912
N 0.0000 0.0000 0.0000
Y -2.0397 -8.3653 2.9836
N 1.0571 -5.2083 0.8807
Tc -0.3918 -10.0622 0.7916
Y 1.9140 -5.0202 -1.4587
Pm 0.4976 -1.5506 -1.7464

4.
4
Lattice="-0.2544 -0.4022 3.1345 -1.4618 -2.7730 -0.4745 6.5872 -3.4874 0.0872" Properties=species:S:1:pos:R:3 comment="TcSnGe2 PBE optimized geometry" m_tot_mub_per_cell=0.00 rho_g_cm3=8.02 spacegroup="P4/mmm, No. 123" total_energy_ha_per_atom=-0.214 delta_e_f_mev_per_atom=68 pbc="T T T"
Tc -0.8581 -1.5876 1.3300
Ge 1.2412 -0.6571 0.0164
Ge 5.3460 -2.8303 0.0707
Sn 2.4355 -3.3313 1.3736

5.
8
Lattice="-2.1189 -3.8431 -2.6792 3.7104 -5.3489 -0.1957 -3.3815 -4.1562 3.7023" Properties=species:S:1:pos:R:3 comment="Pu5SbRh2 PBE optimized geometry" m_tot_mub_per_cell=16.30 rho_g_cm3=13.99 formation_energy_uncorrected_mev_per_atom=-75.1 spacegroup="Immm, No. 71" total_energy_ha_per_atom=-0.418 pbc="T T T"
Pu -1.6851 -7.4696 2.1796
Sb 0.0000 0.0000 0.0000
Pu 0.7607 -7.8809 0.8353
Pu 0.1644 -4.7525 1.7533
Rh -0.6518 -2.8644 -0.3095
Pu -2.5507 -5.4672 -0.0079
Pu -0.1049 -5.8785 -1.3523
Rh -1.1382 -10.4838 1.1369

6.
8
Lattice="3.8487 0.0000 0.0000 0.0000 5.4628 0.0693 0.0000 -2.6344 7.0337" Properties=species:S:1:pos:R:3 comment="Zr2CuGe PBE optimized geometry" m_tot_mub_per_cell=0.00 rho_g_cm3=7.12 spacegroup="P2_1/m, No. 11" total_energy_ha_per_atom=-0.256 delta_e_f_mev_per_atom=-523 pbc="T T T"
Zr 0.9622 2.8582 4.0389
Zr 0.9622 4.1368 0.6266
Zr 2.8866 -1.3083 6.4763
Ge 0.9622 1.3301 1.4968
Zr 2.8866 -0.0297 3.0641
Cu 0.9622 0.0632 5.0344
Ge 2.8866 1.4984 5.6062
Cu 2.8866 2.7653 2.0685

Copy entry 1 word for word.
4
Lattice="-0.0990 -2.6760 1.5334 2.8878 -0.6192 -0.8941 2.3402 3.0388 5.4541" Properties=species:S:1:pos:R:3 comment="Ta2TiFe PBE optimized geometry" m_tot_mub_per_cell=0.37 rho_g_cm3=12.18 spacegroup="P4/mmm, No. 123" total_energy_ha_per_atom=-0.371 delta_e_f_mev_per_atom=-79 pbc="T T T"
Ta 1.8055 2.3445 4.2080
Ta 0.5347 0.6943 1.2461
Ti 2.5645 -0.1282 3.0467
Fe 1.3944 -1.6476 0.3197